1.
## ZrV3Ge (PBE)

Data for a relaxed structure of ZrV3Ge.

```
data_ZrV3Ge
_cell_length_a 4.628
_cell_length_b 4.628
_cell_length_c 4.628
_cell_angle_alpha 90.00
_cell_angle_beta 90.00
_cell_angle_gamma 90.00
_symmetry_space_group_name_H-M 'P m -3 m'
_symmetry_Int_Tables_number 221
_symmetry_space_group_name_Hall '-P 4 2 3'
loop_
_atom_site_label
_atom_site_fract_x
_atom_site_fract_y
_atom_site_fract_z
_atom_site_occupancy
Zr1 0.000 0.000 0.000 1
V1 0.000 0.000 0.500 1
Ge1 0.500 0.500 0.500 1
```

- V (Å³ per atom) = 19.8
- energy of formation from the pure elements (kcal/mol of atoms) = 38.08
- DOS at the Fermi energy (states/eV/cell) = 7.9

=====

2.
## ZrV6Ge4 (PBE)

Data for a relaxed structure of ZrV6Ge4.

```
data_ZrV6Ge4
_cell_length_a 6.528
_cell_length_b 6.528
_cell_length_c 8.873
_cell_angle_alpha 90.00
_cell_angle_beta 90.00
_cell_angle_gamma 90.00
_symmetry_space_group_name_H-M 'I -4 2 m'
_symmetry_Int_Tables_number 121
_symmetry_space_group_name_Hall 'I -4 2'
loop_
_atom_site_label
_atom_site_fract_x
_atom_site_fract_y
_atom_site_fract_z
_atom_site_occupancy
Zr1 0.000 0.000 0.000 1
V1 0.000 0.500 0.000 1
V2 0.140 0.140 0.639 1
Ge1 0.231 0.231 0.379 1
```

- V (Å³ per atom) = 17.2
- energy of formation from the pure elements (kcal/mol of atoms) = 1.45
- DOS at the Fermi energy (states/eV/cell) = 15.8

=====

3.
## ZrVGe2 (PBE)

Data for a relaxed structure of ZrVGe2.

```
data_ZrVGe2
_cell_length_a 3.981
_cell_length_b 3.981
_cell_length_c 18.731
_cell_angle_alpha 90.00
_cell_angle_beta 90.00
_cell_angle_gamma 90.00
_symmetry_space_group_name_H-M 'I -4 2 d'
_symmetry_Int_Tables_number 122
_symmetry_space_group_name_Hall 'I -4 2bw'
loop_
_atom_site_label
_atom_site_fract_x
_atom_site_fract_y
_atom_site_fract_z
_atom_site_occupancy
Zr1 0.000 0.000 0.000 1
V1 0.000 0.000 0.500 1
Ge1 0.214 0.250 0.625 1
```

- V (Å³ per atom) = 18.6
- energy of formation from the pure elements (kcal/mol of atoms) = 2.75
- DOS at the Fermi energy (states/eV/cell) = 13.4

=====

4.
## Zr2VGe (PBE)

Data for a relaxed structure of Zr2VGe.

```
data_Zr2VGe
_cell_length_a 7.495
_cell_length_b 7.495
_cell_length_c 5.654
_cell_angle_alpha 90.00
_cell_angle_beta 90.00
_cell_angle_gamma 90.00
_symmetry_space_group_name_H-M 'I -4 2 d'
_symmetry_Int_Tables_number 122
_symmetry_space_group_name_Hall 'I -4 2bw'
loop_
_atom_site_label
_atom_site_fract_x
_atom_site_fract_y
_atom_site_fract_z
_atom_site_occupancy
Zr1 0.247 0.250 0.125 1
V1 0.000 0.000 0.500 1
Ge1 0.000 0.000 0.000 1
```

- V (Å³ per atom) = 19.8
- energy of formation from the pure elements (kcal/mol of atoms) = 5.29
- DOS at the Fermi energy (states/eV/cell) = 17.3

=====

5.
## ZrV2Ge2 (PBE)

Data for a relaxed structure of ZrV2Ge2.

```
data_ZrV2Ge2
_cell_length_a 4.550
_cell_length_b 4.550
_cell_length_c 8.188
_cell_angle_alpha 90.00
_cell_angle_beta 90.00
_cell_angle_gamma 90.00
_symmetry_space_group_name_H-M 'I 4/m m m'
_symmetry_Int_Tables_number 139
_symmetry_space_group_name_Hall '-I 4 2'
loop_
_atom_site_label
_atom_site_fract_x
_atom_site_fract_y
_atom_site_fract_z
_atom_site_occupancy
Zr1 0.000 0.000 0.000 1
V1 0.000 0.000 0.383 1
Ge1 0.000 0.500 0.250 1
```

- V (Å³ per atom) = 17.0
- energy of formation from the pure elements (kcal/mol of atoms) = -1.29
- DOS at the Fermi energy (states/eV/cell) = 6.2

=====

6.
## ZrV2Ge2 (PBE)

Data for a relaxed structure of ZrV2Ge2.

```
data_ZrV2Ge2
_cell_length_a 7.483
_cell_length_b 7.483
_cell_length_c 2.840
_cell_angle_alpha 90.00
_cell_angle_beta 90.00
_cell_angle_gamma 90.00
_symmetry_space_group_name_H-M 'P 4/m b m'
_symmetry_Int_Tables_number 127
_symmetry_space_group_name_Hall '-P 4 2ab'
loop_
_atom_site_label
_atom_site_fract_x
_atom_site_fract_y
_atom_site_fract_z
_atom_site_occupancy
Zr1 0.000 0.000 0.000 1
V1 0.116 0.384 0.000 1
Ge1 0.178 0.678 0.500 1
```

- V (Å³ per atom) = 15.9
- energy of formation from the pure elements (kcal/mol of atoms) = -3.78
- DOS at the Fermi energy (states/eV/cell) = 11.1

=====

7.
## Zr2VGe2 (PBE)

Data for a relaxed structure of Zr2VGe2.

```
data_Zr2VGe2
_cell_length_a 6.808
_cell_length_b 6.808
_cell_length_c 3.867
_cell_angle_alpha 90.00
_cell_angle_beta 90.00
_cell_angle_gamma 90.00
_symmetry_space_group_name_H-M 'P 4/m b m'
_symmetry_Int_Tables_number 127
_symmetry_space_group_name_Hall '-P 4 2ab'
loop_
_atom_site_label
_atom_site_fract_x
_atom_site_fract_y
_atom_site_fract_z
_atom_site_occupancy
Zr1 0.173 0.327 0.000 1
V1 0.000 0.000 0.500 1
Ge1 0.134 0.634 0.500 1
```

- V (Å³ per atom) = 17.9
- energy of formation from the pure elements (kcal/mol of atoms) = -15.06
- DOS at the Fermi energy (states/eV/cell) = 7.9

=====

8.
## Zr2V2Ge (PBE)

Data for a relaxed structure of Zr2V2Ge.

```
data_Zr2V2Ge
_cell_length_a 6.654
_cell_length_b 6.654
_cell_length_c 4.034
_cell_angle_alpha 90.00
_cell_angle_beta 90.00
_cell_angle_gamma 90.00
_symmetry_space_group_name_H-M 'P 4/m b m'
_symmetry_Int_Tables_number 127
_symmetry_space_group_name_Hall '-P 4 2ab'
loop_
_atom_site_label
_atom_site_fract_x
_atom_site_fract_y
_atom_site_fract_z
_atom_site_occupancy
Zr1 0.177 0.323 0.000 1
V1 0.123 0.623 0.500 1
Ge1 0.000 0.000 0.500 1
```

- V (Å³ per atom) = 17.9
- energy of formation from the pure elements (kcal/mol of atoms) = -2.49
- DOS at the Fermi energy (states/eV/cell) = 7.8

=====

9.
## Zr3VGe (PBE)

Data for a relaxed structure of Zr3VGe.

```
data_Zr3VGe
_cell_length_a 5.016
_cell_length_b 5.016
_cell_length_c 5.016
_cell_angle_alpha 90.00
_cell_angle_beta 90.00
_cell_angle_gamma 90.00
_symmetry_space_group_name_H-M 'P m -3 m'
_symmetry_Int_Tables_number 221
_symmetry_space_group_name_Hall '-P 4 2 3'
loop_
_atom_site_label
_atom_site_fract_x
_atom_site_fract_y
_atom_site_fract_z
_atom_site_occupancy
Zr1 0.000 0.000 0.500 1
V1 0.500 0.500 0.500 1
Ge1 0.000 0.000 0.000 1
```

- V (Å³ per atom) = 25.2
- energy of formation from the pure elements (kcal/mol of atoms) = 13.29
- DOS at the Fermi energy (states/eV/cell) = 6.8

=====

10.
## ZrV3Ge (PBE)

Data for a relaxed structure of ZrV3Ge.

```
data_ZrV3Ge
_cell_length_a 4.528
_cell_length_b 4.528
_cell_length_c 4.528
_cell_angle_alpha 90.00
_cell_angle_beta 90.00
_cell_angle_gamma 90.00
_symmetry_space_group_name_H-M 'P m -3 m'
_symmetry_Int_Tables_number 221
_symmetry_space_group_name_Hall '-P 4 2 3'
loop_
_atom_site_label
_atom_site_fract_x
_atom_site_fract_y
_atom_site_fract_z
_atom_site_occupancy
Zr1 0.000 0.000 0.000 1
V1 0.000 0.500 0.500 1
Ge1 0.500 0.500 0.500 1
```

- V (Å³ per atom) = 18.6
- energy of formation from the pure elements (kcal/mol of atoms) = 15.55
- DOS at the Fermi energy (states/eV/cell) = 6.4

=====

11.
## ZrV2Ge2 (PBE)

Data for a relaxed structure of ZrV2Ge2.

```
data_ZrV2Ge2
_cell_length_a 3.765
_cell_length_b 3.765
_cell_length_c 11.477
_cell_angle_alpha 90.00
_cell_angle_beta 90.00
_cell_angle_gamma 90.00
_symmetry_space_group_name_H-M 'I 4/m m m'
_symmetry_Int_Tables_number 139
_symmetry_space_group_name_Hall '-I 4 2'
loop_
_atom_site_label
_atom_site_fract_x
_atom_site_fract_y
_atom_site_fract_z
_atom_site_occupancy
Zr1 0.000 0.000 0.000 1
V1 0.000 0.500 0.250 1
Ge1 0.000 0.000 0.394 1
```

- V (Å³ per atom) = 16.3
- energy of formation from the pure elements (kcal/mol of atoms) = -10.33
- DOS at the Fermi energy (states/eV/cell) = 4.6

=====

12.
## Zr2VGe (PBE)

Data for a relaxed structure of Zr2VGe.

```
data_Zr2VGe
_cell_length_a 3.1979
_cell_length_b 3.1979
_cell_length_c 26.5334
_cell_angle_alpha 90.00
_cell_angle_beta 90.00
_cell_angle_gamma 120.00
_symmetry_space_group_name_H-M 'R -3 m'
_symmetry_Int_Tables_number 166
_symmetry_space_group_name_Hall '-R 3 2"'
loop_
_atom_site_label
_atom_site_fract_x
_atom_site_fract_y
_atom_site_fract_z
_atom_site_occupancy
Zr1 0.0000 0.0000 0.2482 1
V1 0.0000 0.0000 0.5000 1
Ge1 0.0000 0.0000 0.0000 1
```

- V (Å³ per atom) = 19.6
- energy of formation from the pure elements (kcal/mol of atoms) = 0.33
- DOS at the Fermi energy (states/eV/cell) = 12.1

=====

What did the third record say?
## ZrVGe2 (PBE)

Data for a relaxed structure of ZrVGe2.

```
data_ZrVGe2
_cell_length_a 3.981
_cell_length_b 3.981
_cell_length_c 18.731
_cell_angle_alpha 90.00
_cell_angle_beta 90.00
_cell_angle_gamma 90.00
_symmetry_space_group_name_H-M 'I -4 2 d'
_symmetry_Int_Tables_number 122
_symmetry_space_group_name_Hall 'I -4 2bw'
loop_
_atom_site_label
_atom_site_fract_x
_atom_site_fract_y
_atom_site_fract_z
_atom_site_occupancy
Zr1 0.000 0.000 0.000 1
V1 0.000 0.000 0.500 1
Ge1 0.214 0.250 0.625 1
```

- V (Å³ per atom) = 18.6
- energy of formation from the pure elements (kcal/mol of atoms) = 2.75
- DOS at the Fermi energy (states/eV/cell) = 13.4